Here is an optimized crystal structure of Na2Bi2Pb from the Alexandria database. Energies are from PBE.

Geometry as POSCAR:
```
Na2Bi2Pb
1.0
-2.315 2.315 7.669
2.315 -2.315 7.669
2.315 2.315 -7.669
Na Bi Pb
2 2 1
direct
0.250 0.750 0.500 Na
0.750 0.250 0.500 Na
0.099 0.099 0.000 Bi
0.901 0.901 0.000 Bi
0.500 0.500 0.000 Pb
```

Calculated values
- Crystal system: tetragonal
- Energy above the most stable polymorph in this dataset: 0.183 eV/atom
- DFT formation energy: -0.021 eV/atom
- Calculated density: 6.8 g/cm³
- Total moment: 0.00 μB/atom
- Energy: -2.843 eV/atom
- Fermi-level density of states: 0.614 states/eV/atom